! ZnRe2 PBE-GGA relaxed; values from VASP
&SYSTEM
  ibrav = 0, nat = 6, ntyp = 2
/
ATOMIC_SPECIES
Zn 65.41 Zn.upf
Re 186.21 Re.upf
CELL_PARAMETERS angstrom
-1.377 1.377 12.166
1.377 -1.377 12.166
1.377 1.377 -12.166
ATOMIC_POSITIONS crystal
Zn 0.375 0.625 0.750
Zn 0.625 0.375 0.250
Re 0.043 0.793 0.250
Re 0.207 0.957 0.250
Re 0.793 0.043 0.750
Re 0.957 0.207 0.750
! Energy above the most stable polymorph in this dataset (meV/atom): 485.7
! Total moment (μB per cell): 0.0

***

! ZnRe2 PBE-GGA relaxed; values from VASP
&SYSTEM
  ibrav = 0, nat = 6, ntyp = 2
/
ATOMIC_SPECIES
Zn 65.41 Zn.upf
Re 186.21 Re.upf
CELL_PARAMETERS angstrom
0.000 3.671 3.671
3.671 0.000 3.671
3.671 3.671 0.000
ATOMIC_POSITIONS crystal
Zn 0.125 0.125 0.125
Zn 0.875 0.875 0.875
Re 0.000 0.500 0.500
Re 0.500 0.000 0.500
Re 0.500 0.500 0.000
Re 0.500 0.500 0.500
! Energy above the most stable polymorph in this dataset (meV/atom): 524.0
! Total moment (μB per cell): 0.0

***

! ZnRe2 PBE-GGA relaxed; values from VASP
&SYSTEM
  ibrav = 0, nat = 6, ntyp = 2
/
ATOMIC_SPECIES
Zn 65.41 Zn.upf
Re 186.21 Re.upf
CELL_PARAMETERS angstrom
2.778 0.000 0.000
0.000 4.430 0.000
-1.301 0.000 7.270
ATOMIC_POSITIONS crystal
Zn 0.228 0.250 0.447
Zn 0.772 0.750 0.553
Re 0.098 0.750 0.217
Re 0.445 0.750 0.896
Re 0.555 0.250 0.104
Re 0.902 0.250 0.783
! Energy above the most stable polymorph in this dataset (meV/atom): 77.1
! Total moment (μB per cell): 0.0